## KCa2SnCl8 (PBE-GGA)

Data for a geometry-optimized KCa2SnCl8 structure.

Cell: 6.385 8.634 6.606 Å, 90.00 90.36 90.00°
Positions (direct):
K 0.000 0.000 0.000
Ca 0.500 0.247 0.500
Ca 0.500 0.753 0.500
Sn 0.000 0.500 0.000
Cl 0.233 0.284 0.168
Cl 0.233 0.716 0.168
Cl 0.267 0.500 0.674
Cl 0.283 0.000 0.640
Cl 0.717 0.000 0.360
Cl 0.733 0.500 0.326
Cl 0.767 0.284 0.832
Cl 0.767 0.716 0.832

Computed properties:
- Raw formation energy: -1.779 eV per atom

***

## KCaSnCl5 (PBE-GGA)

Data for a geometry-optimized KCaSnCl5 structure.

Cell: 7.621 7.621 10.301 Å, 105.86 105.86 96.88°
Positions (direct):
K 0.070 0.930 0.750
K 0.930 0.070 0.250
Ca 0.000 0.500 0.000
Ca 0.500 0.000 0.500
Sn 0.491 0.509 0.750
Sn 0.509 0.491 0.250
Cl 0.178 0.230 0.069
Cl 0.220 0.780 0.250
Cl 0.230 0.178 0.569
Cl 0.280 0.632 0.903
Cl 0.368 0.720 0.597
Cl 0.632 0.280 0.403
Cl 0.720 0.368 0.097
Cl 0.770 0.822 0.431
Cl 0.780 0.220 0.750
Cl 0.822 0.770 0.931

Computed properties:
- Raw formation energy: -1.748 eV per atom

***

## KCaSn2Cl6 (PBE-GGA)

Data for a geometry-optimized KCaSn2Cl6 structure.

Cell: 7.640 7.640 7.640 Å, 61.13 61.13 61.13°
Positions (direct):
K 0.000 0.000 0.000
Ca 0.480 0.480 0.480
Sn 0.253 0.253 0.253
Sn 0.695 0.695 0.695
Cl 0.098 0.741 0.427
Cl 0.315 0.586 0.855
Cl 0.427 0.098 0.741
Cl 0.586 0.855 0.315
Cl 0.741 0.427 0.098
Cl 0.855 0.315 0.586

Computed properties:
- Raw formation energy: -1.420 eV per atom

***

## KCaTbCl6 (PBE-GGA)

Data for a geometry-optimized KCaTbCl6 structure.

Cell: 7.124 7.124 13.525 Å, 90.00 90.00 120.00°
Positions (direct):
K 0.000 0.000 0.000
K 0.000 0.000 0.500
Ca 0.333 0.667 0.250
Ca 0.667 0.333 0.750
Tb 0.333 0.667 0.750
Tb 0.667 0.333 0.250
Cl 0.009 0.374 0.639
Cl 0.009 0.635 0.861
Cl 0.365 0.374 0.861
Cl 0.365 0.991 0.639
Cl 0.374 0.009 0.139
Cl 0.374 0.365 0.361
Cl 0.626 0.635 0.639
Cl 0.626 0.991 0.861
Cl 0.635 0.009 0.361
Cl 0.635 0.626 0.139
Cl 0.991 0.365 0.139
Cl 0.991 0.626 0.361

Computed properties:
- Raw formation energy: -2.289 eV per atom

***

## KCa2TiCl8 (PBE-GGA)

Data for a geometry-optimized KCa2TiCl8 structure.

Cell: 6.211 8.497 6.460 Å, 90.00 90.66 90.00°
Positions (direct):
K 0.000 0.000 0.000
Ca 0.500 0.253 0.500
Ca 0.500 0.747 0.500
Ti 0.000 0.500 0.000
Cl 0.221 0.300 0.164
Cl 0.221 0.700 0.164
Cl 0.253 0.500 0.693
Cl 0.276 0.000 0.633
Cl 0.724 0.000 0.367
Cl 0.747 0.500 0.307
Cl 0.779 0.300 0.836
Cl 0.779 0.700 0.836

Computed properties:
- Raw formation energy: -2.000 eV per atom

***

## KCaTiCl6 (PBE-GGA)

Data for a geometry-optimized KCaTiCl6 structure.

Cell: 6.824 6.824 13.627 Å, 90.00 90.00 120.00°
Positions (direct):
K 0.000 0.000 0.000
K 0.000 0.000 0.500
Ca 0.333 0.667 0.250
Ca 0.667 0.333 0.750
Ti 0.333 0.667 0.750
Ti 0.667 0.333 0.250
Cl 0.033 0.384 0.645
Cl 0.033 0.649 0.855
Cl 0.351 0.384 0.855
Cl 0.351 0.967 0.645
Cl 0.384 0.033 0.145
Cl 0.384 0.351 0.355
Cl 0.616 0.649 0.645
Cl 0.616 0.967 0.855
Cl 0.649 0.033 0.355
Cl 0.649 0.616 0.145
Cl 0.967 0.351 0.145
Cl 0.967 0.616 0.355

Computed properties:
- Raw formation energy: -1.947 eV per atom

***

What is the raw formation energy in the sixth record? -1.947 eV per atom